# Tl2CoBC (GGA-PBE, relaxed)
# Formation energy = 1.364 eV per atom
data_Tl2CoBC
_cell_length_a 5.138
_cell_length_b 5.138
_cell_length_c 3.523
_cell_angle_alpha 90.00
_cell_angle_beta 90.00
_cell_angle_gamma 90.00
_space_group_name_H-M_alt 'P 4/m m m'
_space_group_IT_number 123
_space_group_name_Hall '-P 4 2'
loop_
_atom_site_label
_atom_site_fract_x
_atom_site_fract_y
_atom_site_fract_z
Tl1 0.000 0.500 0.000
Co1 0.000 0.000 0.000
B1 0.500 0.500 0.500
C1 0.000 0.000 0.500



# CuSiCl2 (GGA-PBE, relaxed)
# ΔE_f (raw) = 329 meV/atom
# Polymorph energy (0 for the lowest one) = 646 meV per atom
data_CuSiCl2
_cell_length_a 6.626
_cell_length_b 6.626
_cell_length_c 6.626
_cell_angle_alpha 90.00
_cell_angle_beta 90.00
_cell_angle_gamma 90.00
_space_group_name_H-M_alt 'F m -3 m'
_space_group_IT_number 225
_space_group_name_Hall '-F 4 2 3'
loop_
_atom_site_label
_atom_site_fract_x
_atom_site_fract_y
_atom_site_fract_z
Cu1 0.000 0.000 0.000
Si1 0.000 0.000 0.500
Cl1 0.250 0.250 0.250



# Tl2In6BiPb (GGA-PBE, relaxed)
# Formation energy = 0.075 eV per atom
data_Tl2In6BiPb
_cell_length_a 7.654
_cell_length_b 9.446
_cell_length_c 10.920
_cell_angle_alpha 90.00
_cell_angle_beta 130.29
_cell_angle_gamma 90.00
_space_group_name_H-M_alt 'P 1 21/c 1'
_space_group_IT_number 14
loop_
_space_group_symop_operation_xyz
'x,y,z'
'-x,-y,-z'
'-x,y+1/2,-z+1/2'
'x,-y+1/2,z+1/2'
loop_
_atom_site_label
_atom_site_fract_x
_atom_site_fract_y
_atom_site_fract_z
Tl1 0.214 0.109 0.146
In1 0.024 0.676 0.739
In2 0.321 0.726 0.613
In3 0.417 0.140 0.526
Bi1 0.500 0.000 0.000
Pb1 0.000 0.000 0.500



# Tb3Ce3DyS8 (GGA-PBE, relaxed)
# ΔE_f (raw) = -2054 meV/atom
data_Tb3Ce3DyS8
_cell_length_a 7.9062
_cell_length_b 7.9062
_cell_length_c 19.6523
_cell_angle_alpha 90.00
_cell_angle_beta 90.00
_cell_angle_gamma 120.00
_space_group_name_H-M_alt 'R -3 m'
_space_group_IT_number 166
_space_group_name_Hall '-R 3 2"'
loop_
_atom_site_label
_atom_site_fract_x
_atom_site_fract_y
_atom_site_fract_z
Tb1 0.0000 0.5000 0.0000
Ce1 0.0000 0.5000 0.5000
Dy1 0.0000 0.0000 0.0000
S1 0.0000 0.0000 0.2533
S2 0.0000 0.5000 0.2532



# Y7ErAl4 (GGA-PBE, relaxed)
# Formation energy = -0.076 eV per atom
data_Y7ErAl4
_cell_length_a 13.880
_cell_length_b 5.489
_cell_length_c 10.438
_cell_angle_alpha 90.00
_cell_angle_beta 124.52
_cell_angle_gamma 90.00
_space_group_name_H-M_alt 'C 1 2/m 1'
_space_group_IT_number 12
loop_
_space_group_symop_operation_xyz
'x,y,z'
'-x,-y,-z'
'-x,y,-z'
'x,-y,z'
'x+1/2,y+1/2,z'
'-x+1/2,-y+1/2,-z'
'-x+1/2,y+1/2,-z'
'x+1/2,-y+1/2,z'
loop_
_atom_site_label
_atom_site_fract_x
_atom_site_fract_y
_atom_site_fract_z
Y1 0.000 0.000 0.000
Y2 0.066 0.500 0.387
Y3 0.202 0.000 0.646
Y4 0.212 0.500 0.879
Er1 0.000 0.500 0.000
Al1 0.054 0.000 0.763
Al2 0.177 0.000 0.332



# AcTbPmPr2 (GGA-PBE, relaxed)
# Formation energy = 0.277 eV per atom
data_AcTbPmPr2
_cell_length_a 3.746
_cell_length_b 5.918
_cell_length_c 8.763
_cell_angle_alpha 90.00
_cell_angle_beta 90.22
_cell_angle_gamma 90.00
_space_group_name_H-M_alt 'P 1 2/m 1'
_space_group_IT_number 10
loop_
_space_group_symop_operation_xyz
'x,y,z'
'-x,-y,-z'
'-x,y,-z'
'x,-y,z'
loop_
_atom_site_label
_atom_site_fract_x
_atom_site_fract_y
_atom_site_fract_z
Ac1 0.000 0.000 0.000
Tb1 0.500 0.000 0.500
Pm1 0.500 0.500 0.000
Pr1 0.002 0.500 0.323



# HoScHgPd (GGA-PBE, relaxed)
# Polymorph energy (0 for the lowest one) = 45 meV per atom
# Formation energy = -0.625 eV per atom
data_HoScHgPd
_cell_length_a 7.029
_cell_length_b 7.029
_cell_length_c 7.029
_cell_angle_alpha 90.00
_cell_angle_beta 90.00
_cell_angle_gamma 90.00
_space_group_name_H-M_alt 'F -4 3 m'
_space_group_IT_number 216
_space_group_name_Hall 'F -4 2 3'
loop_
_atom_site_label
_atom_site_fract_x
_atom_site_fract_y
_atom_site_fract_z
Ho1 0.000 0.000 0.000
Sc1 0.000 0.000 0.500
Hg1 0.250 0.250 0.750
Pd1 0.250 0.250 0.250



# TbCu4Au (GGA-PBE, relaxed)
# Formation energy = -0.332 eV per atom
data_TbCu4Au
_cell_length_a 7.149
_cell_length_b 7.149
_cell_length_c 7.149
_cell_angle_alpha 90.00
_cell_angle_beta 90.00
_cell_angle_gamma 90.00
_space_group_name_H-M_alt 'F -4 3 m'
_space_group_IT_number 216
_space_group_name_Hall 'F -4 2 3'
loop_
_atom_site_label
_atom_site_fract_x
_atom_site_fract_y
_atom_site_fract_z
Tb1 0.000 0.000 0.000
Cu1 0.124 0.124 0.376
Au1 0.250 0.250 0.750



# KCaBTe2 (GGA-PBE, relaxed)
# ΔE_f (raw) = -51 meV/atom
data_KCaBTe2
_cell_length_a 5.368
_cell_length_b 5.368
_cell_length_c 4.871
_cell_angle_alpha 90.00
_cell_angle_beta 90.00
_cell_angle_gamma 90.00
_space_group_name_H-M_alt 'P 4/m m m'
_space_group_IT_number 123
_space_group_name_Hall '-P 4 2'
loop_
_atom_site_label
_atom_site_fract_x
_atom_site_fract_y
_atom_site_fract_z
K1 0.000 0.000 0.000
Ca1 0.500 0.500 0.000
B1 0.500 0.500 0.500
Te1 0.000 0.500 0.500



# YPbN2O (GGA-PBE, relaxed)
# ΔE_f (raw) = 49 meV/atom
data_YPbN2O
_cell_length_a 4.667
_cell_length_b 4.667
_cell_length_c 4.383
_cell_angle_alpha 90.00
_cell_angle_beta 90.00
_cell_angle_gamma 90.00
_space_group_name_H-M_alt 'P 4/m m m'
_space_group_IT_number 123
_space_group_name_Hall '-P 4 2'
loop_
_atom_site_label
_atom_site_fract_x
_atom_site_fract_y
_atom_site_fract_z
Y1 0.000 0.000 0.000
Pb1 0.500 0.500 0.500
N1 0.000 0.500 0.000
O1 0.000 0.000 0.500



# LiCr2Ru (GGA-PBE, relaxed)
# Formation energy = 0.323 eV per atom
data_LiCr2Ru
_cell_length_a 4.862
_cell_length_b 8.468
_cell_length_c 2.498
_cell_angle_alpha 90.00
_cell_angle_beta 107.57
_cell_angle_gamma 90.00
_space_group_name_H-M_alt 'C 1 2/m 1'
_space_group_IT_number 12
loop_
_space_group_symop_operation_xyz
'x,y,z'
'-x,-y,-z'
'-x,y,-z'
'x,-y,z'
'x+1/2,y+1/2,z'
'-x+1/2,-y+1/2,-z'
'-x+1/2,y+1/2,-z'
'x+1/2,-y+1/2,z'
loop_
_atom_site_label
_atom_site_fract_x
_atom_site_fract_y
_atom_site_fract_z
Li1 0.000 0.000 0.000
Cr1 0.250 0.250 0.500
Ru1 0.000 0.500 0.000



# AcYMgAg (GGA-PBE, relaxed)
# Polymorph energy (0 for the lowest one) = 0 meV per atom
# Formation energy = -0.174 eV per atom
data_AcYMgAg
_cell_length_a 3.886
_cell_length_b 3.886
_cell_length_c 7.699
_cell_angle_alpha 90.00
_cell_angle_beta 90.00
_cell_angle_gamma 90.00
_space_group_name_H-M_alt 'P 4 m m'
_space_group_IT_number 99
loop_
_space_group_symop_operation_xyz
'x,y,z'
'-y,x,z'
'-x,-y,z'
'y,-x,z'
'-x,y,z'
'y,x,z'
'x,-y,z'
'-y,-x,z'
loop_
_atom_site_label
_atom_site_fract_x
_atom_site_fract_y
_atom_site_fract_z
Ac1 0.000 0.000 0.000
Y1 0.000 0.000 0.481
Mg1 0.500 0.500 0.712
Ag1 0.500 0.500 0.281



Table of final energy (eV per cell), in record order: -20.92, -47.58, -56.00, -300.39, -131.40, -21.66, -75.61, -105.13, -16.32, -31.54, -58.29, -15.71